The following is a DFT calculation (PBE+U) of a relaxed structure of V2SbPbF.

Properties
The calculation puts the magnetic moment at 1.21 μB/atom.

Cell and atoms, written as POSCAR:
```
V2SbPbF
1.0
4.437 0.000 0.000
0.000 5.742 0.000
0.000 0.000 4.437
Pb Sb F V
1 1 1 2
direct
0.500 0.500 0.500 Pb
0.000 0.500 0.000 Sb
0.000 0.000 0.000 F
0.000 0.000 0.500 V
0.500 0.000 0.000 V
```


The following is a DFT calculation (PBE+U) of a relaxed structure of VSbPbF2.

Properties
The calculation puts the magnetic moment at 0.72 μB/atom.

Cell and atoms, written as POSCAR:
```
VSbPbF2
1.0
-2.694 -0.710 3.338
2.712 -5.820 0.950
2.889 1.789 2.712
Pb Sb F V
1 1 2 1
direct
0.000 0.500 0.000 Pb
0.000 0.000 0.000 Sb
0.000 0.000 0.500 F
0.500 0.000 0.000 F
0.500 0.500 0.500 V
```


| no. | raw total energy (eV per cell) |
| --- | --- |
| 1 | -24.17 |
| 2 | -21.89 |